<a>
KY3Mo | GGA-PBE | optimized geometry

Cell: 5.157 5.157 5.157 Å, 90.00 90.00 90.00°
Space group Pm-3m (No. 221)
One atom of each set of equivalent atoms:
K1 0.000 0.000 0.000 x1
Y1 0.000 0.000 0.500 x3
Mo1 0.500 0.500 0.500 x1


<b>
KY3Mo | GGA-PBE | optimized geometry

Cell: 5.594 5.594 5.594 Å, 90.00 90.00 90.00°
Space group Pm-3m (No. 221)
One atom of each set of equivalent atoms:
K1 0.000 0.000 0.000 x1
Y1 0.000 0.500 0.500 x3
Mo1 0.500 0.500 0.500 x1


Stability summary: most stable <b>, least stable <a>.


<a>
K3ZrMo | GGA-PBE | optimized geometry

Cell: 6.635 6.635 6.635 Å, 90.00 90.00 90.00°
Space group Pm-3m (No. 221)
One atom of each set of equivalent atoms:
K1 0.000 0.000 0.500 x3
Zr1 0.000 0.000 0.000 x1
Mo1 0.500 0.500 0.500 x1


<b>
K3ZrMo | GGA-PBE | optimized geometry

Cell: 5.970 5.970 5.970 Å, 90.00 90.00 90.00°
Space group Pm-3m (No. 221)
One atom of each set of equivalent atoms:
K1 0.000 0.000 0.500 x3
Zr1 0.500 0.500 0.500 x1
Mo1 0.000 0.000 0.000 x1


Stability summary: most stable <a>, least stable <b>.


<a>
KZr3Mo | GGA-PBE | optimized geometry

Cell: 5.242 5.242 5.242 Å, 90.00 90.00 90.00°
Space group Pm-3m (No. 221)
One atom of each set of equivalent atoms:
K1 0.000 0.000 0.000 x1
Zr1 0.000 0.500 0.500 x3
Mo1 0.500 0.500 0.500 x1


<b>
KZr3Mo | GGA-PBE | optimized geometry

Cell: 4.798 4.798 4.798 Å, 90.00 90.00 90.00°
Space group Pm-3m (No. 221)
One atom of each set of equivalent atoms:
K1 0.000 0.000 0.000 x1
Zr1 0.000 0.000 0.500 x3
Mo1 0.500 0.500 0.500 x1


Stability summary: most stable <a>, least stable <b>.